Record 1
## Li8In2Hg (GGA-PBE)

Data for crystalline Li8In2Hg at its relaxed geometry. Values from VASP.

## Properties
theoretical density	3.83	g/cm3
VASP energy	-2.134	eV per atom
formation energy	-216	meV/atom
crystal system	orthorhombic

Cell and atoms, written as Quantum ESPRESSO input:
```
&SYSTEM
  ibrav = 0, nat = 11, ntyp = 3
/
ATOMIC_SPECIES
Li 6.94 Li.upf
In 114.82 In.upf
Hg 200.59 Hg.upf
CELL_PARAMETERS angstrom
-2.337 3.321 6.782
2.337 -3.321 6.782
2.337 3.321 -6.782
ATOMIC_POSITIONS angstrom
Li 2.337 1.871 -1.979
Li 0.000 0.000 2.200
Li 0.000 1.914 0.000
Li 2.337 1.871 1.979
Li 0.000 1.450 4.803
Li 0.000 4.728 0.000
Li 0.000 0.000 11.363
Li 0.000 1.450 8.761
In 2.337 0.000 4.114
In 0.000 3.321 2.668
Hg 2.337 0.000 0.000
```

=====

Record 2
## LiInHg6 (GGA-PBE)

Data for crystalline LiInHg6 at its relaxed geometry. Values from VASP.

## Properties
theoretical density	11.12	g/cm3
VASP energy	-0.885	eV per atom
formation energy	-77	meV/atom
crystal system	tetragonal

Cell and atoms, written as Quantum ESPRESSO input:
```
&SYSTEM
  ibrav = 0, nat = 8, ntyp = 3
/
ATOMIC_SPECIES
Li 6.94 Li.upf
In 114.82 In.upf
Hg 200.59 Hg.upf
CELL_PARAMETERS angstrom
4.869 0.000 0.000
0.000 4.869 0.000
0.000 0.000 8.347
ATOMIC_POSITIONS angstrom
Li 0.000 0.000 0.000
In 0.000 0.000 4.174
Hg 0.000 2.435 1.992
Hg 0.000 2.435 6.356
Hg 2.435 0.000 1.992
Hg 2.435 0.000 6.356
Hg 2.435 2.435 0.000
Hg 2.435 2.435 4.174
```

=====

Record 3
## LiInHg3 (GGA-PBE)

Data for crystalline LiInHg3 at its relaxed geometry. Values from VASP.

## Properties
theoretical density	6.82	g/cm3
VASP energy	-0.937	eV per atom
ΔE to the lowest computed polymorph	315	meV per atom
formation energy	175	meV/atom
crystal system	cubic

Cell and atoms, written as Quantum ESPRESSO input:
```
&SYSTEM
  ibrav = 0, nat = 5, ntyp = 3
/
ATOMIC_SPECIES
Li 6.94 Li.upf
In 114.82 In.upf
Hg 200.59 Hg.upf
CELL_PARAMETERS angstrom
5.606 0.000 0.000
0.000 5.606 0.000
0.000 0.000 5.606
ATOMIC_POSITIONS angstrom
Li 0.000 0.000 0.000
In 2.803 2.803 2.803
Hg 0.000 2.803 2.803
Hg 2.803 0.000 2.803
Hg 2.803 2.803 0.000
```

=====

Record 4
## LiInHg (GGA-PBE)

Data for crystalline LiInHg at its relaxed geometry. Values from VASP.

## Properties
theoretical density	7.81	g/cm3
VASP energy	-1.764	eV per atom
ΔE to the lowest computed polymorph	116	meV per atom
formation energy	-112	meV/atom
crystal system	cubic

Cell and atoms, written as Quantum ESPRESSO input:
```
&SYSTEM
  ibrav = 0, nat = 3, ntyp = 3
/
ATOMIC_SPECIES
Li 6.94 Li.upf
In 114.82 In.upf
Hg 200.59 Hg.upf
CELL_PARAMETERS angstrom
0.000 3.249 3.249
3.249 0.000 3.249
3.249 3.249 0.000
ATOMIC_POSITIONS angstrom
Li 0.000 0.000 0.000
In 4.873 4.873 4.873
Hg 1.624 1.624 1.624
```

=====

Record 5
## Li2InHg5 (GGA-PBE)

Data for crystalline Li2InHg5 at its relaxed geometry. Values from VASP.

## Properties
theoretical density	10.34	g/cm3
VASP energy	-1.179	eV per atom
formation energy	-169	meV/atom
crystal system	tetragonal

Cell and atoms, written as Quantum ESPRESSO input:
```
&SYSTEM
  ibrav = 0, nat = 16, ntyp = 3
/
ATOMIC_SPECIES
Li 6.94 Li.upf
In 114.82 In.upf
Hg 200.59 Hg.upf
CELL_PARAMETERS angstrom
-3.814 3.814 6.247
3.814 -3.814 6.247
3.814 3.814 -6.247
ATOMIC_POSITIONS angstrom
Li 4.943 1.129 0.000
Li 1.129 2.684 0.000
Li 2.684 1.129 6.247
Li -1.129 2.684 6.247
In 0.000 0.000 3.123
In 0.000 0.000 9.370
Hg 0.000 0.000 0.000
Hg 4.919 -1.106 1.843
Hg 2.708 -1.106 4.404
Hg 2.708 1.106 1.843
Hg 4.919 1.106 4.404
Hg 0.000 0.000 6.247
Hg -1.106 2.708 1.843
Hg 1.106 2.708 4.404
Hg 1.106 4.919 1.843
Hg -1.106 4.919 4.404
```

=====

Record 6
## Li2In2Hg (GGA-PBE)

Data for crystalline Li2In2Hg at its relaxed geometry. Values from VASP.

## Properties
theoretical density	6.12	g/cm3
VASP energy	-1.982	eV per atom
ΔE to the lowest computed polymorph	166	meV per atom
formation energy	-61	meV/atom
crystal system	tetragonal

Cell and atoms, written as Quantum ESPRESSO input:
```
&SYSTEM
  ibrav = 0, nat = 5, ntyp = 3
/
ATOMIC_SPECIES
Li 6.94 Li.upf
In 114.82 In.upf
Hg 200.59 Hg.upf
CELL_PARAMETERS angstrom
-2.066 2.066 7.056
2.066 -2.066 7.056
2.066 2.066 -7.056
ATOMIC_POSITIONS angstrom
Li 0.000 0.000 1.338
Li 0.000 0.000 12.774
In 2.066 0.000 3.528
In 0.000 2.066 3.528
Hg 0.000 0.000 7.056
```

=====

Record 7
## Li2In3Hg8 (GGA-PBE)

Data for crystalline Li2In3Hg8 at its relaxed geometry. Values from VASP.

## Properties
theoretical density	9.38	g/cm3
VASP energy	-1.124	eV per atom
ΔE to the lowest computed polymorph	78	meV per atom
formation energy	-12	meV/atom
crystal system	trigonal

Cell and atoms, written as Quantum ESPRESSO input:
```
&SYSTEM
  ibrav = 0, nat = 13, ntyp = 3
/
ATOMIC_SPECIES
Li 6.94 Li.upf
In 114.82 In.upf
Hg 200.59 Hg.upf
CELL_PARAMETERS angstrom
3.120 1.802 10.308
-3.120 1.802 10.308
0.000 -3.603 10.308
ATOMIC_POSITIONS angstrom
Li 0.000 0.000 3.840
Li 0.000 0.000 27.083
In 0.000 0.000 9.453
In 0.000 0.000 15.462
In 0.000 0.000 21.470
Hg 0.000 0.000 6.419
Hg 0.000 -1.796 12.077
Hg -1.555 0.898 12.077
Hg -1.555 -0.898 18.846
Hg 1.555 0.898 12.077
Hg 1.555 -0.898 18.846
Hg 0.000 1.796 18.846
Hg 0.000 0.000 24.505
```

=====

Record 8
## Li2InHg (GGA-PBE)

Data for crystalline Li2InHg at its relaxed geometry. Values from VASP.

## Properties
theoretical density	6.30	g/cm3
VASP energy	-1.854	eV per atom
formation energy	-138	meV/atom
crystal system	tetragonal

Cell and atoms, written as Quantum ESPRESSO input:
```
&SYSTEM
  ibrav = 0, nat = 8, ntyp = 3
/
ATOMIC_SPECIES
Li 6.94 Li.upf
In 114.82 In.upf
Hg 200.59 Hg.upf
CELL_PARAMETERS angstrom
-3.786 3.786 3.027
3.786 -3.786 3.027
3.786 3.786 -3.027
ATOMIC_POSITIONS angstrom
Li 1.893 1.768 -0.757
Li 2.018 -1.893 3.784
Li 1.893 2.018 2.270
Li 1.768 5.679 0.757
In 3.786 0.000 1.514
In 0.000 0.000 3.027
Hg 0.000 0.000 0.000
Hg 0.000 3.786 1.514
```

=====

Record 9
## Li2In3Hg5 (GGA-PBE)

Data for crystalline Li2In3Hg5 at its relaxed geometry. Values from VASP.

## Properties
theoretical density	9.35	g/cm3
VASP energy	-1.474	eV per atom
formation energy	-118	meV/atom
crystal system	triclinic

Cell and atoms, written as Quantum ESPRESSO input:
```
&SYSTEM
  ibrav = 0, nat = 20, ntyp = 3
/
ATOMIC_SPECIES
Li 6.94 Li.upf
In 114.82 In.upf
Hg 200.59 Hg.upf
CELL_PARAMETERS angstrom
4.694 0.000 0.000
0.000 9.062 0.000
0.693 0.006 11.362
ATOMIC_POSITIONS angstrom
Li 0.337 1.583 5.440
Li 0.683 2.958 11.127
Li 4.704 6.111 0.235
Li 5.050 7.486 5.923
In 0.000 0.000 0.000
In 0.347 4.534 5.681
In 2.357 1.586 1.677
In 2.703 2.946 7.355
In 2.684 6.123 4.007
In 3.030 7.483 9.685
Hg 0.506 0.324 8.066
Hg 0.161 4.220 2.385
Hg 2.731 6.195 7.092
Hg 2.384 7.399 1.408
Hg 2.693 0.003 5.681
Hg 2.347 4.531 0.000
Hg 3.003 1.670 9.955
Hg 2.656 2.874 4.270
Hg 5.226 4.849 8.977
Hg 4.881 8.745 3.296
```

=====

Record 10
## Li3In4Hg (GGA-PBE)

Data for crystalline Li3In4Hg at its relaxed geometry. Values from VASP.

## Properties
theoretical density	6.32	g/cm3
VASP energy	-2.289	eV per atom
ΔE to the lowest computed polymorph	34	meV per atom
formation energy	-164	meV/atom
crystal system	triclinic

Cell and atoms, written as Quantum ESPRESSO input:
```
&SYSTEM
  ibrav = 0, nat = 8, ntyp = 3
/
ATOMIC_SPECIES
Li 6.94 Li.upf
In 114.82 In.upf
Hg 200.59 Hg.upf
CELL_PARAMETERS angstrom
3.379 0.000 0.000
0.004 4.372 0.000
1.553 2.130 12.102
ATOMIC_POSITIONS angstrom
Li 0.000 0.000 0.000
Li 1.576 4.318 8.431
Li 3.360 2.184 3.671
In 1.646 4.346 5.302
In 1.673 4.403 2.311
In 3.264 2.099 9.791
In 3.290 2.156 6.800
Hg 1.692 2.186 0.000
```

=====

Record 11
## LiIn7Hg12 (GGA-PBE)

Data for crystalline LiIn7Hg12 at its relaxed geometry. Values from VASP.

## Properties
theoretical density	9.69	g/cm3
VASP energy	-1.247	eV per atom
formation energy	-12	meV/atom
crystal system	trigonal

Cell and atoms, written as Quantum ESPRESSO input:
```
&SYSTEM
  ibrav = 0, nat = 20, ntyp = 3
/
ATOMIC_SPECIES
Li 6.94 Li.upf
In 114.82 In.upf
Hg 200.59 Hg.upf
CELL_PARAMETERS angstrom
8.693 5.019 2.106
-8.693 5.019 2.106
0.000 -10.038 2.106
ATOMIC_POSITIONS angstrom
Li 0.000 0.000 0.000
In -1.384 -5.654 2.031
In -4.205 4.026 2.031
In -5.589 -1.628 4.286
In 0.000 0.000 3.158
In 5.589 1.628 2.031
In 4.205 -4.026 4.286
In 1.384 5.654 4.286
Hg -0.580 -2.362 1.413
Hg -1.755 1.683 1.413
Hg -3.190 -3.207 3.076
Hg -4.372 1.160 3.241
Hg 2.336 0.678 1.413
Hg 1.182 -4.366 3.241
Hg -1.182 4.366 3.076
Hg -2.336 -0.678 4.904
Hg 4.372 -1.160 3.076
Hg 3.190 3.207 3.241
Hg 1.755 -1.683 4.904
Hg 0.580 2.362 4.904
```

=====

Record 12
## Li5In2Hg2 (GGA-PBE)

Data for crystalline Li5In2Hg2 at its relaxed geometry. Values from VASP.

## Properties
theoretical density	6.06	g/cm3
VASP energy	-1.968	eV per atom
formation energy	-229	meV/atom
crystal system	orthorhombic

Cell and atoms, written as Quantum ESPRESSO input:
```
&SYSTEM
  ibrav = 0, nat = 9, ntyp = 3
/
ATOMIC_SPECIES
Li 6.94 Li.upf
In 114.82 In.upf
Hg 200.59 Hg.upf
CELL_PARAMETERS angstrom
0.000 4.311 6.880
3.073 0.000 6.880
3.073 4.311 0.000
ATOMIC_POSITIONS angstrom
Li 0.000 0.000 0.000
Li 1.537 2.156 2.101
Li 1.537 2.156 4.780
Li 4.610 6.467 8.981
Li 4.610 6.467 11.660
In 3.073 4.311 3.595
In 3.073 4.311 10.166
Hg 3.073 2.884 6.880
Hg 3.073 5.739 6.880
```

=====

Question: Look up the formation energy of the seventh one.
Answer: -12 meV/atom

=====

Copy entry 5 word for word.
## Li2InHg5 (GGA-PBE)

Data for crystalline Li2InHg5 at its relaxed geometry. Values from VASP.

## Properties
theoretical density	10.34	g/cm3
VASP energy	-1.179	eV per atom
formation energy	-169	meV/atom
crystal system	tetragonal

Cell and atoms, written as Quantum ESPRESSO input:
```
&SYSTEM
  ibrav = 0, nat = 16, ntyp = 3
/
ATOMIC_SPECIES
Li 6.94 Li.upf
In 114.82 In.upf
Hg 200.59 Hg.upf
CELL_PARAMETERS angstrom
-3.814 3.814 6.247
3.814 -3.814 6.247
3.814 3.814 -6.247
ATOMIC_POSITIONS angstrom
Li 4.943 1.129 0.000
Li 1.129 2.684 0.000
Li 2.684 1.129 6.247
Li -1.129 2.684 6.247
In 0.000 0.000 3.123
In 0.000 0.000 9.370
Hg 0.000 0.000 0.000
Hg 4.919 -1.106 1.843
Hg 2.708 -1.106 4.404
Hg 2.708 1.106 1.843
Hg 4.919 1.106 4.404
Hg 0.000 0.000 6.247
Hg -1.106 2.708 1.843
Hg 1.106 2.708 4.404
Hg 1.106 4.919 1.843
Hg -1.106 4.919 4.404
```